This record from Alexandria describes an optimized crystal structure of AlAgP2. The functional is GGA-PBE.

Its size of the total moment is 0.0 μB per formula unit. For the energy of formation from the pure elements, the calculation gives 1.19 eV/f.u. The value obtained for the electronic total energy is -32.44 eV per cell.

The structure belongs to space group Immm (No. 71); the cell edges are 3.665, 4.977 and 7.491 Å and the angles 90.00°, 90.00° and 90.00°. Symmetry generates all atoms from Al at (0.000, 0.000, 0.000), Ag at (0.000, 0.000, 0.500) and P at (0.000, 0.500, 0.283).

---

This record from Alexandria describes an optimized crystal structure of PtWSI2. The functional is GGA-PBE.

Its raw formation energy is 1.61 eV per atom. Its size of the total moment is 2.3 μB per formula unit. The value obtained for the electronic total energy is -18.16 eV per cell.

The structure belongs to space group P4/mmm (No. 123); the cell edges are 5.584, 5.584 and 4.438 Å and the angles 90.00°, 90.00° and 90.00°. Symmetry generates all atoms from Pt at (0.000, 0.000, 0.000), W at (0.500, 0.500, 0.000), S at (0.500, 0.500, 0.500) and I at (0.000, 0.500, 0.500).

---

This record from Alexandria describes an optimized crystal structure of Co2W. The functional is GGA-PBE.

Its size of the total moment is 2.1 μB per formula unit. For the energy of formation from the pure elements, the calculation gives 0.31 eV/f.u. The value obtained for the electronic total energy is -26.85 eV per cell.

The structure belongs to space group P6/mmm (No. 191); the cell edges are 4.0726, 4.0726 and 2.6072 Å and the angles 90.00°, 90.00° and 120.00°. Symmetry generates all atoms from Co at (0.3333, 0.6667, 0.0000) and W at (0.0000, 0.0000, 0.5000).

---

This record from Alexandria describes an optimized crystal structure of LaSiW2Au. The functional is GGA-PBE.

Its raw formation energy is 0.93 eV per atom. Its size of the total moment is 0.0 μB per formula unit. The value obtained for the electronic total energy is -34.87 eV per cell.

The structure belongs to space group P4/mmm (No. 123); the cell edges are 4.589, 4.589 and 5.446 Å and the angles 90.00°, 90.00° and 90.00°. Symmetry generates all atoms from La at (0.000, 0.000, 0.000), Si at (0.000, 0.000, 0.500), W at (0.000, 0.500, 0.500) and Au at (0.500, 0.500, 0.000).

---

This record from Alexandria describes an optimized crystal structure of Ni4BiN. The functional is GGA-PBE.

Its raw formation energy is 0.12 eV per atom. Its size of the total moment is 0.0 μB per formula unit. The value obtained for the electronic total energy is -34.60 eV per cell.

The structure belongs to space group P4/mmm (No. 123); the cell edges are 3.669, 3.669 and 6.188 Å and the angles 90.00°, 90.00° and 90.00°. Symmetry generates all atoms from Ni at (0.000, 0.000, 0.198), Ni at (0.000, 0.500, 0.500), Bi at (0.500, 0.500, 0.000) and N at (0.000, 0.000, 0.500).

---

This record from Alexandria describes an optimized crystal structure of BaTa4Au. The functional is GGA-PBE.

Its size of the total moment is 0.0 μB per formula unit. For the energy of formation from the pure elements, the calculation gives 4.56 eV/f.u. The value obtained for the electronic total energy is -192.19 eV per cell.

The structure belongs to space group F-43m (No. 216); the cell edges are 8.082, 8.082 and 8.082 Å and the angles 90.00°, 90.00° and 90.00°. Symmetry generates all atoms from Ba at (0.000, 0.000, 0.000), Ta at (0.126, 0.126, 0.626) and Au at (0.250, 0.250, 0.250).